Compound: Ca3PmCd4
Source: the Alexandria database
Functional: PBE
Structure: optimized geometry

a b c (Å): 9.4092 9.4092 9.4092
angles (deg): 33.46 33.46 33.46
Closest atoms and distances in Å follow each position.
Element x y z (fractional)
Ca (0.0000, 0.0000, 0.0000)  8 Cd 3.32-3.33
Ca (0.2509, 0.2509, 0.2509)  8 Cd 3.31-3.35
Ca (0.7491, 0.7491, 0.7491)  8 Cd 3.31-3.35
Pm (0.5000, 0.5000, 0.5000)  8 Cd 3.31-3.32
Cd (0.1251, 0.1251, 0.1251)  3 Pm 3.32, 5 Ca 3.33-3.35
Cd (0.3756, 0.3756, 0.3756)  7 Ca 3.31-3.32, 1 Pm 3.31
Cd (0.6244, 0.6244, 0.6244)  7 Ca 3.31-3.32, 1 Pm 3.31
Cd (0.8749, 0.8749, 0.8749)  3 Pm 3.32, 5 Ca 3.33-3.35

Calculated values
Energy of formation in kJ/mol of atoms: -34
Space-group type: No. 166
Calculated total energy in eV per atom: -2.158
Spin magnetization in Bohr magnetons per cell: 0.000
Calculated volume in Å³/cell: 225.5